# 1
Cs2PmHgF6, optimized geometry, DFT PBE; volume = 23.36 Å³ per atom; E = -93.17 eV/cell
1.0
6.9054 0.0000 0.0000
0.0000 6.9240 0.0000
0.0000 0.0000 9.7730
F Pm Cs Hg
12 2 4 2
Direct
0.7315 0.0150 0.5000 F
0.5000 0.2360 0.7311 F
0.2315 0.9850 0.0000 F
0.2685 0.0150 0.5000 F
0.2317 0.5239 0.0000 F
0.0000 0.7640 0.7689 F
0.7317 0.4761 0.5000 F
0.7683 0.5239 0.0000 F
0.0000 0.7640 0.2311 F
0.5000 0.2360 0.2689 F
0.2683 0.4761 0.5000 F
0.7685 0.9850 0.0000 F
0.5000 0.2463 0.5000 Pm
0.0000 0.7537 0.0000 Pm
0.0000 0.2434 0.2505 Cs
0.5000 0.7566 0.7505 Cs
0.0000 0.2434 0.7495 Cs
0.5000 0.7566 0.2495 Cs
0.0000 0.7458 0.5000 Hg
0.5000 0.2542 0.0000 Hg

***

# 2
ReMo2Cl, optimized geometry, DFT PBE; volume = 15.78 Å³ per atom; E = -31.70 eV/cell; relative energy among the computed polymorphs = 826 meV per atom
1.0
-1.1996 3.9733 -1.6582
-1.5794 0.2964 -4.1706
-4.3182 0.9203 -0.6942
Re Mo Cl
1 2 1
Direct
0.7500 0.7500 0.7500 Re
0.0000 0.0000 0.0000 Mo
0.2500 0.2500 0.2500 Mo
0.5000 0.5000 0.5000 Cl

***

# 3
In3Ni5H12, optimized geometry, DFT PBE; volume = 8.91 Å³ per atom; E = -291.01 eV/cell
1.0
-1.8027 -9.2491 2.4871
9.3987 2.0214 1.5996
-5.5594 5.9473 5.3576
In H Ni
12 48 20
Direct
0.2500 0.1250 0.3750 In
0.1250 0.8750 0.7500 In
0.8750 0.7500 0.1250 In
0.8750 0.1250 0.2500 In
0.7500 0.3750 0.1250 In
0.7500 0.8750 0.6250 In
0.3750 0.6250 0.2500 In
0.1250 0.2500 0.8750 In
0.2500 0.6250 0.8750 In
0.6250 0.2500 0.3750 In
0.6250 0.3750 0.7500 In
0.3750 0.7500 0.6250 In
0.9085 0.8144 0.4872 H
0.6856 0.1728 0.5941 H
0.0941 0.1856 0.1728 H
0.0941 0.9085 0.4213 H
0.6728 0.5941 0.1856 H
0.0915 0.9059 0.0787 H
0.3144 0.4872 0.4085 H
0.8144 0.9059 0.3272 H
0.1728 0.4872 0.5787 H
0.9872 0.4085 0.8144 H
0.6728 0.0787 0.9872 H
0.5128 0.8272 0.9213 H
0.1728 0.6856 0.0941 H
0.0915 0.1856 0.5128 H
0.9213 0.5941 0.9085 H
0.9059 0.8144 0.8272 H
0.5787 0.5915 0.9059 H
0.4213 0.4085 0.0941 H
0.5128 0.6856 0.0915 H
0.5787 0.9872 0.1728 H
0.4059 0.0787 0.5915 H
0.4872 0.1728 0.0787 H
0.4085 0.9872 0.3144 H
0.0787 0.6728 0.4872 H
0.4872 0.3144 0.9085 H
0.8272 0.3144 0.9059 H
0.1856 0.0941 0.6728 H
0.3272 0.9213 0.0128 H
0.5915 0.5787 0.4059 H
0.4085 0.4213 0.5941 H
0.5915 0.0128 0.6856 H
0.6856 0.5128 0.5915 H
0.3272 0.4059 0.8144 H
0.4059 0.3272 0.3144 H
0.0128 0.4213 0.3272 H
0.1856 0.0915 0.0128 H
0.3144 0.8272 0.4059 H
0.8144 0.9085 0.9872 H
0.9872 0.5787 0.6728 H
0.9059 0.0915 0.5787 H
0.5941 0.6728 0.6856 H
0.0128 0.5915 0.1856 H
0.8272 0.5128 0.4213 H
0.5941 0.9213 0.4085 H
0.9213 0.3272 0.5128 H
0.9085 0.0941 0.9213 H
0.0787 0.4059 0.0915 H
0.4213 0.0128 0.8272 H
0.0000 0.0000 0.0000 Ni
0.5000 0.5000 0.0000 Ni
0.7500 0.1250 0.8750 Ni
0.8750 0.2500 0.6250 Ni
0.2500 0.3750 0.6250 Ni
0.3750 0.2500 0.1250 Ni
0.5000 0.0000 0.0000 Ni
0.5000 0.0000 0.5000 Ni
0.0000 0.0000 0.5000 Ni
0.1250 0.7500 0.3750 Ni
0.8750 0.6250 0.7500 Ni
0.3750 0.1250 0.7500 Ni
0.6250 0.7500 0.8750 Ni
0.1250 0.3750 0.2500 Ni
0.0000 0.5000 0.0000 Ni
0.7500 0.6250 0.3750 Ni
0.6250 0.8750 0.2500 Ni
0.5000 0.5000 0.5000 Ni
0.0000 0.5000 0.5000 Ni
0.2500 0.8750 0.1250 Ni

***

# 4
RbCoBOs2, optimized geometry, DFT PBE; formation enthalpy at 0 K = 4.39 eV per atom; volume = 21.15 Å³ per atom; E = -15.26 eV/cell
1.0
4.8724 0.0000 0.0000
0.0000 4.4536 0.0000
0.0000 0.0000 4.8724
B Os Rb Co
1 2 1 1
Direct
0.5000 0.5000 0.5000 B
0.0000 0.0000 0.5000 Os
0.5000 0.0000 0.0000 Os
0.0000 0.0000 0.0000 Rb
0.0000 0.5000 0.0000 Co